[1]
## Co2SiSe (SCAN)

Data for a crystal of Co2SiSe relaxed with PBEsol.

a = 3.8873 Å, b = 4.1611 Å, c = 4.0499 Å
α = 119.12°, β = 90.00°, γ = 117.85°
With the nearest neighbours (Å) after each atom.
Element x y z (fractional)
Co1 0.2642 0.5284 0.2642  4 Si 2.42-2.60, 4 Se 2.49-2.53
Si1 0.0000 0.0000 0.5000  8 Co 2.42-2.60
Se1 0.5000 0.0000 0.0000  8 Co 2.49-2.53
Co2 0.7358 0.4716 0.7358  4 Si 2.42-2.60, 4 Se 2.49-2.53

polymorph energy (0 for the lowest one): 0.0 meV/atom
VASP energy: -63.66 eV/cell
formation energy without anion corrections: 0.260 eV per atom


[2]
## Co2SiSe (SCAN)

Data for a crystal of Co2SiSe relaxed with PBEsol.

a = 2.9593 Å, b = 3.8558 Å, c = 4.9664 Å
α = 112.84°, β = 107.33°, γ = 90.00°
With the nearest neighbours (Å) after each atom.
Element x y z (fractional)
Co1 0.7688 0.2688 0.5376  2 Se 2.43, 4 Si 2.43, 2 Co 2.64
Se1 0.4907 0.4907 0.9814  6 Co 2.43
Co2 0.9777 0.9777 0.9555  2 Si 2.38, 4 Se 2.43, 2 Co 2.64
Si1 0.2627 0.7627 0.5255  6 Co 2.38-2.43

polymorph energy (0 for the lowest one): 45.1 meV/atom
VASP energy: -63.48 eV/cell
formation energy without anion corrections: 0.305 eV per atom